(1)
The following is a PBE calculation of BeCd2Pt2 after structural relaxation, from the Alexandria database.

```
BeCd2Pt2
1.0
6.023 0.000 0.000
0.000 6.023 0.000
0.000 0.000 4.635
Be Cd Pt
2 4 4
Cartesian
0.000 0.000 0.000
3.012 3.012 0.000
1.007 2.005 2.317
2.005 5.016 2.317
4.018 1.007 2.317
5.016 4.018 2.317
0.937 3.949 0.000
2.074 0.937 0.000
3.949 5.086 0.000
5.086 2.074 0.000
```

Results
As for the formation energy: -369 meV per atom. Its space-group type is No. 127. The crystal system is tetragonal.

=====

(2)
The following is a PBE calculation of BeCd4Pt after structural relaxation, from the Alexandria database.

```
BeCd4Pt
1.0
0.000 3.875 3.875
3.875 0.000 3.875
3.875 3.875 0.000
Be Cd Pt
1 4 1
Cartesian
0.000 0.000 0.000
4.843 2.906 2.906
2.906 4.843 2.906
2.906 2.906 4.843
4.843 4.843 4.843
1.937 1.937 1.937
```

Results
As for the formation energy: 445 meV per atom. Its space-group type is No. 216. The crystal system is cubic.

=====

(3)
The following is a PBE calculation of Be2CdPt2 after structural relaxation, from the Alexandria database.

```
Be2CdPt2
1.0
-1.752 1.752 5.936
1.752 -1.752 5.936
1.752 1.752 -5.936
Be Cd Pt
2 1 2
Cartesian
1.752 0.000 2.968
0.000 1.752 2.968
0.000 0.000 0.000
0.000 0.000 4.471
0.000 0.000 7.400
```

Results
As for the formation energy: -439 meV per atom. Its energy above the most stable polymorph in this dataset is 54 kJ/mol of formula units. Its space-group type is No. 139. The crystal system is tetragonal.

=====

(4)
The following is a PBE calculation of Be3CdPt after structural relaxation, from the Alexandria database.

```
Be3CdPt
1.0
4.281 0.000 0.000
0.000 4.281 0.000
0.000 0.000 4.281
Be Cd Pt
3 1 1
Cartesian
0.000 0.000 2.141
0.000 2.141 0.000
2.141 0.000 0.000
0.000 0.000 0.000
2.141 2.141 2.141
```

Results
As for the formation energy: 1170 meV per atom. Its energy above the most stable polymorph in this dataset is 481 kJ/mol of formula units. Its space-group type is No. 221. The crystal system is cubic.

=====

(5)
The following is a PBE calculation of BeCdPt after structural relaxation, from the Alexandria database.

```
BeCdPt
1.0
3.792 0.000 0.000
0.000 3.792 0.000
0.000 0.000 6.554
Be Cd Pt
2 2 2
Cartesian
0.948 2.844 0.000
2.844 0.948 0.000
0.948 0.948 2.291
2.844 2.844 4.263
0.948 0.948 5.185
2.844 2.844 1.369
```

Results
As for the formation energy: -389 meV per atom. Its energy above the most stable polymorph in this dataset is 0 kJ/mol of formula units. Its space-group type is No. 129. The crystal system is tetragonal.

=====

(6)
The following is a PBE calculation of BeCd3Pt after structural relaxation, from the Alexandria database.

```
BeCd3Pt
1.0
4.581 0.000 0.000
0.000 4.581 0.000
0.000 0.000 4.581
Be Cd Pt
1 3 1
Cartesian
0.000 0.000 0.000
0.000 0.000 2.290
0.000 2.290 0.000
2.290 0.000 0.000
2.290 2.290 2.290
```

Results
As for the formation energy: 459 meV per atom. Its energy above the most stable polymorph in this dataset is 0 kJ/mol of formula units. Its space-group type is No. 221. The crystal system is cubic.

=====

(7)
The following is a PBE calculation of BeCd3Pt after structural relaxation, from the Alexandria database.

```
BeCd3Pt
1.0
5.212 0.000 0.000
0.000 5.212 0.000
0.000 0.000 5.212
Be Cd Pt
1 3 1
Cartesian
0.000 0.000 0.000
0.000 2.606 2.606
2.606 0.000 2.606
2.606 2.606 0.000
2.606 2.606 2.606
```

Results
As for the formation energy: 565 meV per atom. Its energy above the most stable polymorph in this dataset is 51 kJ/mol of formula units. Its space-group type is No. 221. The crystal system is cubic.

=====

(8)
The following is a PBE calculation of Be3CdPt after structural relaxation, from the Alexandria database.

```
Be3CdPt
1.0
4.317 0.000 0.000
0.000 4.317 0.000
0.000 0.000 4.317
Be Cd Pt
3 1 1
Cartesian
0.000 0.000 2.158
0.000 2.158 0.000
2.158 0.000 0.000
2.158 2.158 2.158
0.000 0.000 0.000
```

Results
As for the formation energy: 173 meV per atom. Its energy above the most stable polymorph in this dataset is 0 kJ/mol of formula units. Its space-group type is No. 221. The crystal system is cubic.

=====

(9)
The following is a PBE calculation of Be2CdPt2 after structural relaxation, from the Alexandria database.

```
Be2CdPt2
1.0
6.926 0.000 0.000
0.000 6.926 0.000
0.000 0.000 2.781
Be Cd Pt
4 2 4
Cartesian
0.879 2.584 0.000
2.584 6.047 0.000
4.342 0.879 0.000
6.047 4.342 0.000
0.000 0.000 0.000
3.463 3.463 0.000
1.110 4.574 1.391
2.353 1.110 1.391
4.574 5.816 1.391
5.816 2.353 1.391
```

Results
As for the formation energy: -551 meV per atom. Its energy above the most stable polymorph in this dataset is 0 kJ/mol of formula units. Its space-group type is No. 127. The crystal system is tetragonal.

=====

(10)
The following is a PBE calculation of BeCdPt after structural relaxation, from the Alexandria database.

```
BeCdPt
1.0
-1.528 1.528 4.862
1.528 -1.528 4.862
1.528 1.528 -4.862
Be Cd Pt
1 1 1
Cartesian
0.000 0.000 0.000
0.000 0.000 2.888
0.000 0.000 5.725
```

Results
As for the formation energy: -341 meV per atom. Its energy above the most stable polymorph in this dataset is 14 kJ/mol of formula units. Its space-group type is No. 107. The crystal system is tetragonal.

=====

(11)
The following is a PBE calculation of BeCdPt after structural relaxation, from the Alexandria database.

```
BeCdPt
1.0
0.000 2.865 2.865
2.865 0.000 2.865
2.865 2.865 0.000
Be Cd Pt
1 1 1
Cartesian
0.000 0.000 0.000
1.433 1.433 1.433
4.298 4.298 4.298
```

Results
As for the formation energy: -192 meV per atom. Its energy above the most stable polymorph in this dataset is 57 kJ/mol of formula units. Its space-group type is No. 216. The crystal system is cubic.

=====

(12)
The following is a PBE calculation of RbBeCdPt2 after structural relaxation, from the Alexandria database.

```
RbBeCdPt2
1.0
5.201 0.000 0.000
0.000 5.201 0.000
0.000 0.000 6.095
Rb Be Cd Pt
1 1 1 2
Cartesian
0.000 0.000 0.000
2.600 2.600 3.048
0.000 0.000 3.048
0.000 2.600 0.000
2.600 0.000 0.000
```

Results
As for the formation energy: 2154 meV per atom. Its space-group type is No. 123. The crystal system is tetragonal.